(1)
Nb2Tc3Mo | PBE | relaxed

Lattice parameters (Å, degrees): 3.167 4.479 7.103 108.38 90.00 90.00
Atoms (fractional coordinates):
Tc: 0.500 0.500 0.000
Tc: 0.500 0.165 0.331
Tc: 0.500 0.835 0.669
Mo: 0.000 0.000 0.000
Nb: 0.000 0.665 0.330
Nb: 0.000 0.335 0.670

Its volume is 15.9 A^3/atom. The formation energy comes out at -19.0 kJ per mole of atoms. The calculation puts the density of states at the Fermi level at 0.5524 states/eV/atom. For the total energy, the calculation gives -0.3874 hartree per atom. Its relative energy among the computed polymorphs is 0 meV per atom. The space group is Cmmm (65).

***

(2)
Nb2TcMo | PBE | relaxed

Lattice parameters (Å, degrees): 4.545 5.567 5.567 109.53 90.00 90.00
Atoms (fractional coordinates):
Mo: 0.750 0.625 0.375
Mo: 0.250 0.375 0.625
Nb: 0.250 0.875 0.625
Nb: 0.750 0.625 0.875
Nb: 0.250 0.375 0.125
Nb: 0.750 0.125 0.375
Tc: 0.250 0.875 0.125
Tc: 0.750 0.125 0.875

Its volume is 16.6 A^3/atom. The formation energy comes out at -24.9 kJ per mole of atoms. The calculation puts the density of states at the Fermi level at 0.3427 states/eV/atom. For the total energy, the calculation gives -0.3892 hartree per atom. The space group is Cmcm (63).

***

(3)
NbTcMo2 | PBE | relaxed

Lattice parameters (Å, degrees): 3.181 4.491 4.491 90.00 90.00 90.00
Atoms (fractional coordinates):
Nb: 0.500 0.000 0.000
Mo: 0.000 0.500 0.000
Mo: 0.000 0.000 0.500
Tc: 0.500 0.500 0.500

Its volume is 16.0 A^3/atom. The formation energy comes out at -6.4 kJ per mole of atoms. The calculation puts the density of states at the Fermi level at 0.5545 states/eV/atom. For the total energy, the calculation gives -0.3892 hartree per atom. Its relative energy among the computed polymorphs is 39 meV per atom. The space group is P4/mmm (123).

***

volume of number 3 (NbTcMo2)? 16.0 A^3/atom

***

Which of these has the lowest volume? Nb2Tc3Mo